(1)
Density functional theory data (PBE) for a geometry-optimized HfAsPbSe2 structure.

Structure (extended XYZ):
```
5
Lattice="5.254 0.000 0.000 0.000 5.254 0.000 0.000 0.000 5.275" Properties=species:S:1:pos:R:3 pbc="T T T"
Pb 0.000 0.000 0.000
As 0.000 0.000 2.637
Hf 2.627 2.627 2.637
Se 0.000 2.627 0.000
Se 2.627 0.000 0.000
```

Calculated values
Crystal system: tetragonal
E_form (uncorrected) in eV/atom: 0.867
Space group: P4/mmm, No. 123
Relative energy among the computed polymorphs in kJ/mol of atoms: 110.0

(2)
Density functional theory data (PBE) for a geometry-optimized HfAsPbSe2 structure.

Structure (extended XYZ):
```
5
Lattice="-3.083 -2.996 -3.345 -0.182 -3.971 3.724 -4.630 2.290 2.216" Properties=species:S:1:pos:R:3 pbc="T T T"
Pb -3.947 -2.339 1.297
As -2.315 1.145 1.108
Hf 0.000 0.000 0.000
Se -0.091 -1.986 1.862
Se -1.542 -1.498 -1.673
```

Calculated values
Crystal system: tetragonal
E_form (uncorrected) in eV/atom: -0.274
Space group: P4/mmm, No. 123
Relative energy among the computed polymorphs in kJ/mol of atoms: 0.0

(3)
Density functional theory data (PBE) for a geometry-optimized HfAsPbW2 structure.

Structure (extended XYZ):
```
5
Lattice="-0.471 -4.243 1.911 4.887 -0.807 -0.586 0.808 1.817 4.234" Properties=species:S:1:pos:R:3 pbc="T T T"
Pb 2.611 -1.616 2.779
As 0.000 0.000 0.000
Hf 2.443 -0.403 -0.293
W 0.404 0.909 2.117
W -0.236 -2.122 0.955
```

Calculated values
Crystal system: tetragonal
Space group: P4/mmm, No. 123
Formation energy from the elements in meV/atom: 1082

(4)
Density functional theory data (PBE) for a geometry-optimized HfAsPd5 structure.

Structure (extended XYZ):
```
14
Lattice="-4.477 -3.520 -3.412 3.187 -5.820 0.217 -3.427 -5.351 3.845" Properties=species:S:1:pos:R:3 pbc="T T T"
Hf -1.764 -5.929 -0.761
Hf -2.953 -8.762 1.411
As 0.000 0.000 0.000
As -1.713 -2.675 1.923
Pd -1.359 -8.507 -0.717
Pd -0.492 -6.848 1.380
Pd -4.372 -10.792 0.590
Pd -3.993 -5.260 -1.816
Pd 0.862 -6.180 -1.055
Pd -5.579 -8.511 1.705
Pd -0.724 -9.431 2.466
Pd -0.344 -3.899 0.060
Pd -4.225 -7.843 -0.730
Pd -3.358 -6.184 1.367
```

Calculated values
Crystal system: monoclinic
Space group: C2/c, No. 15
Formation energy from the elements in meV/atom: -207

(5)
Density functional theory data (PBE) for a geometry-optimized HfAs2Pd structure.

Structure (extended XYZ):
```
8
Lattice="4.320 0.000 0.000 0.000 4.320 0.000 2.160 2.160 8.496" Properties=species:S:1:pos:R:3 pbc="T T T"
As 3.157 1.080 2.124
As 1.163 3.240 2.124
As 3.240 3.323 6.372
As 5.400 5.317 6.372
Hf 0.000 0.000 0.000
Hf 4.320 2.160 4.248
Pd 2.160 2.160 0.000
Pd 2.160 4.320 4.248
```

Calculated values
Crystal system: tetragonal
Space group: I-42d, No. 122
Formation energy from the elements in meV/atom: -304

(6)
Density functional theory data (PBE) for a geometry-optimized Hf2AsPd8 structure.

Structure (extended XYZ):
```
11
Lattice="4.641 0.000 0.000 0.000 5.729 -0.171 -2.320 -2.656 6.957" Properties=species:S:1:pos:R:3 pbc="T T T"
Hf 2.320 0.130 4.283
Hf 0.000 2.942 2.504
As 2.320 0.000 0.000
Pd 0.000 1.528 4.968
Pd 2.320 4.298 1.738
Pd 2.320 2.993 4.191
Pd 2.320 -1.228 6.915
Pd 0.000 0.079 2.596
Pd 0.000 -1.225 5.049
Pd 2.320 1.545 1.818
Pd 0.000 4.300 -0.128
```

Calculated values
Crystal system: orthorhombic
Space group: Immm, No. 71
Formation energy from the elements in meV/atom: -661